Hf6BePd12 after structural relaxation. Source: the Alexandria database, functional PBE.

Size of the total moment ... 0.00 μB per formula unit
Calculated volume ... 326 Å³ per cell
E ... -0.2665 Ha/atom
Formation enthalpy at 0 K ... -0.634 eV per atom

abc: 6.901 6.901 6.901
angles: 94.31 94.31 94.31
Fractional positions:
Hf 0.690 0.860 0.249
Hf 0.751 0.310 0.140
Hf 0.140 0.751 0.310
Hf 0.310 0.140 0.751
Hf 0.249 0.690 0.860
Hf 0.860 0.249 0.690
Be 0.000 0.000 0.000
Pd 0.793 0.549 0.473
Pd 0.473 0.793 0.549
Pd 0.549 0.473 0.793
Pd 0.207 0.451 0.527
Pd 0.527 0.207 0.451
Pd 0.451 0.527 0.207
Pd 0.030 0.116 0.347
Pd 0.884 0.653 0.970
Pd 0.653 0.970 0.884
Pd 0.970 0.884 0.653
Pd 0.116 0.347 0.030
Pd 0.347 0.030 0.116

V2CoPtN after structural relaxation. Source: the Alexandria database, functional PBE.

Size of the total moment ... 0.49 μB per formula unit
Formation energy from raw total energies ... -0.57 eV/atom
Calculated volume ... 59 Å³ per cell
E ... -0.3129 Ha/atom

abc: 3.925 3.925 3.802
angles: 90.00 90.00 90.00
Each line ends with the local moment (μB).
Fractional positions:
N 0.000 0.000 0.000  0.01
Co 0.000 0.000 0.500  0.72
Pt 0.500 0.500 0.500  0.04
V 0.000 0.500 0.000  -0.12
V 0.500 0.000 0.000  -0.12

La7Pm12Pu after structural relaxation. Source: the Alexandria database, functional PBE.

Size of the total moment ... 7.72 μB per formula unit
Calculated volume ... 781 Å³ per cell
E ... -0.1727 Ha/atom
Formation enthalpy at 0 K ... 0.591 eV per atom

abc: 10.047 10.047 10.047
angles: 109.47 109.47 109.47
Each line ends with the local moment (μB).
Fractional positions:
La 0.500 0.500 0.000  0.02
La 0.000 0.500 0.500  0.02
La 0.500 0.000 0.500  0.02
La 0.500 0.500 0.500  0.01
La 0.000 0.000 0.500  0.01
La 0.500 0.000 0.000  0.01
La 0.000 0.500 0.000  0.01
Pm 0.510 0.755 0.755  0.04
Pm 0.000 0.755 0.245  0.04
Pm 0.490 0.245 0.245  0.04
Pm 0.000 0.245 0.755  0.04
Pm 0.755 0.000 0.245  0.04
Pm 0.755 0.510 0.755  0.04
Pm 0.245 0.000 0.755  0.04
Pm 0.245 0.490 0.245  0.04
Pm 0.755 0.755 0.510  0.04
Pm 0.245 0.245 0.490  0.04
Pm 0.755 0.245 0.000  0.04
Pm 0.245 0.755 0.000  0.04
Pu 0.000 0.000 0.000  5.73

Zn3PtO after structural relaxation. Source: the Alexandria database, functional PBE.

Size of the total moment ... 0.00 μB per formula unit
Formation energy from raw total energies ... 0.38 eV/atom
Calculated volume ... 110 Å³ per cell
E ... -0.0951 Ha/atom
Energy above the most stable polymorph in this dataset ... 3.889 eV per formula unit

abc: 4.788 4.788 4.788
angles: 90.00 90.00 90.00
Fractional positions:
Zn 0.000 0.500 0.000
Zn 0.000 0.000 0.500
Zn 0.500 0.000 0.000
O 0.500 0.500 0.500
Pt 0.000 0.000 0.000

Ho2InH2 after structural relaxation. Source: the Alexandria database, functional PBE.

Size of the total moment ... 0.00 μB per formula unit
Calculated volume ... 85 Å³ per cell
E ... -0.1600 Ha/atom

abc: 3.789 3.789 6.508
angles: 106.92 106.92 90.00
Fractional positions:
Ho 0.653 0.653 0.306
Ho 0.347 0.347 0.694
In 0.000 0.000 0.000
H 0.750 0.250 0.500
H 0.250 0.750 0.500

TmSc2RhO after structural relaxation. Source: the Alexandria database, functional PBE.

Size of the total moment ... 0.00 μB per formula unit
Formation energy from raw total energies ... -1.50 eV/atom
Calculated volume ... 87 Å³ per cell
E ... -0.2716 Ha/atom

abc: 4.273 4.273 4.768
angles: 90.00 90.00 90.00
Fractional positions:
Tm 0.000 0.000 0.495
Sc 0.000 0.500 0.989
Sc 0.500 0.000 0.989
Rh 0.500 0.500 0.525
O 0.000 0.000 0.002

CaMg2Zr after structural relaxation. Source: the Alexandria database, functional PBE.

Size of the total moment ... 0.76 μB per formula unit
Calculated volume ... 101 Å³ per cell
E ... -0.1221 Ha/atom
Formation enthalpy at 0 K ... 0.113 eV per atom

abc: 3.520 5.367 5.367
angles: 90.00 90.00 90.00
Each line ends with the local moment (μB).
Fractional positions:
Ca 0.500 0.000 0.500  0.03
Mg 0.000 0.000 0.000  0.00
Mg 0.000 0.500 0.500  0.00
Zr 0.500 0.500 0.000  0.35

KAsOs2 after structural relaxation. Source: the Alexandria database, functional PBE.

Size of the total moment ... 0.00 μB per formula unit
Calculated volume ... 90 Å³ per cell
E ... -0.2403 Ha/atom
Formation enthalpy at 0 K ... 0.512 eV per atom

abc: 4.831 4.831 6.785
angles: 78.21 78.21 35.55
Fractional positions:
As 0.536 0.536 0.409
K 0.751 0.751 0.741
Os 0.972 0.972 0.141
Os 0.241 0.241 0.209

Sc2Al2Bi after structural relaxation. Source: the Alexandria database, functional PBE.

Size of the total moment ... 0.00 μB per formula unit
Calculated volume ... 223 Å³ per cell
E ... -0.1882 Ha/atom
Formation enthalpy at 0 K ... -0.317 eV per atom
Energy above the most stable polymorph in this dataset ... 0.000 eV per formula unit

abc: 7.377 7.377 4.091
angles: 90.00 90.00 90.00
Fractional positions:
Sc 0.170 0.670 0.500
Sc 0.670 0.830 0.500
Sc 0.830 0.330 0.500
Sc 0.330 0.170 0.500
Bi 0.000 0.000 0.000
Bi 0.500 0.500 0.000
Al 0.379 0.879 0.000
Al 0.879 0.621 0.000
Al 0.621 0.121 0.000
Al 0.121 0.379 0.000

RbCaZn2F8 after structural relaxation. Source: the Alexandria database, functional PBE.

Size of the total moment ... 1.20 μB per formula unit
Formation energy from raw total energies ... -2.52 eV/atom
Calculated volume ... 208 Å³ per cell
E ... -0.1552 Ha/atom

abc: 5.517 5.517 8.511
angles: 71.09 71.09 60.00
Each line ends with the local moment (μB).
Fractional positions:
Rb 0.000 0.000 0.000  0.00
Ca 0.500 0.500 0.500  0.00
Zn 0.749 0.749 0.754  0.10
Zn 0.251 0.251 0.246  0.10
F 0.669 0.669 0.992  0.20
F 0.331 0.331 0.008  0.20
F 0.548 0.239 0.321  0.09
F 0.761 0.452 0.679  0.09
F 0.108 0.761 0.679  0.09
F 0.239 0.892 0.321  0.09
F 0.892 0.548 0.321  0.09
F 0.452 0.108 0.679  0.09

SmCd2Sb after structural relaxation. Source: the Alexandria database, functional PBE.

Size of the total moment ... 0.00 μB per formula unit
Formation energy from raw total energies ... 0.19 eV/atom
Calculated volume ... 114 Å³ per cell
E ... -0.0912 Ha/atom

abc: 3.362 3.362 11.757
angles: 81.78 81.78 60.00
Fractional positions:
Sb 0.500 0.500 0.500
Sm 0.000 0.000 0.000
Cd 0.090 0.090 0.729
Cd 0.910 0.910 0.271

Sr2ScRh after structural relaxation. Source: the Alexandria database, functional PBE.

Size of the total moment ... 0.00 μB per formula unit
Calculated volume ... 124 Å³ per cell
E ... -0.1652 Ha/atom
Formation enthalpy at 0 K ... -0.233 eV per atom
Energy above the most stable polymorph in this dataset ... 0.127 eV per formula unit

abc: 3.594 3.594 9.580
angles: 90.00 90.00 90.00
Fractional positions:
Rh 0.000 0.000 0.558
Sc 0.500 0.500 0.664
Sr 0.000 0.000 0.952
Sr 0.500 0.500 0.326